Record 1
# CeY6HoEr2 PBE optimized geometry
# * total DFT energy (no corrections): -0.41795 Ry/atom
# * calculated density: 6.02 Mg/m³
data_CeY6HoEr2
_space_group_name_H-M_alt 'C 1 2/c 1'
_space_group_IT_number 15
_cell_length_a 9.186
_cell_length_b 14.796
_cell_length_c 9.637
_cell_angle_alpha 90.00
_cell_angle_beta 99.08
_cell_angle_gamma 90.00
loop_
_space_group_symop_operation_xyz
'x,y,z'
'-x,-y,-z'
'-x,y,-z+1/2'
'x,-y,z+1/2'
'x+1/2,y+1/2,z'
'-x+1/2,-y+1/2,-z'
'-x+1/2,y+1/2,-z+1/2'
'x+1/2,-y+1/2,z+1/2'
loop_
_atom_site_label
_atom_site_type_symbol
_atom_site_fract_x
_atom_site_fract_y
_atom_site_fract_z
Ce1 Ce 0.000 0.092 0.250
Y1 Y 0.066 0.318 0.443
Y2 Y 0.094 0.105 0.617
Y3 Y 0.207 0.276 0.817
Ho1 Ho 0.000 0.473 0.750
Er1 Er 0.240 0.452 0.049

=====

Record 2
# CeY6Ho3Er2 PBE optimized geometry
# * total DFT energy (no corrections): -0.41089 Ry/atom
# * calculated density: 6.58 Mg/m³
data_CeY6Ho3Er2
_space_group_name_H-M_alt 'C 1 2/m 1'
_space_group_IT_number 12
_cell_length_a 6.151
_cell_length_b 10.645
_cell_length_c 11.772
_cell_angle_alpha 90.00
_cell_angle_beta 100.02
_cell_angle_gamma 90.00
loop_
_space_group_symop_operation_xyz
'x,y,z'
'-x,-y,-z'
'-x,y,-z'
'x,-y,z'
'x+1/2,y+1/2,z'
'-x+1/2,-y+1/2,-z'
'-x+1/2,y+1/2,-z'
'x+1/2,-y+1/2,z'
loop_
_atom_site_label
_atom_site_type_symbol
_atom_site_fract_x
_atom_site_fract_y
_atom_site_fract_z
Ce1 Ce 0.000 0.000 0.000
Y1 Y 0.248 0.000 0.750
Y2 Y 0.249 0.166 0.250
Ho1 Ho 0.000 0.168 0.500
Ho2 Ho 0.000 0.500 0.500
Er1 Er 0.000 0.333 0.000

=====

Record 3
# Ce2Y6HoEr3 PBE optimized geometry
# * total DFT energy (no corrections): -0.41819 Ry/atom
# * calculated density: 6.51 Mg/m³
data_Ce2Y6HoEr3
_space_group_name_H-M_alt 'C 1 2/m 1'
_space_group_IT_number 12
_cell_length_a 6.140
_cell_length_b 10.632
_cell_length_c 11.748
_cell_angle_alpha 90.00
_cell_angle_beta 100.03
_cell_angle_gamma 90.00
loop_
_space_group_symop_operation_xyz
'x,y,z'
'-x,-y,-z'
'-x,y,-z'
'x,-y,z'
'x+1/2,y+1/2,z'
'-x+1/2,-y+1/2,-z'
'-x+1/2,y+1/2,-z'
'x+1/2,-y+1/2,z'
loop_
_atom_site_label
_atom_site_type_symbol
_atom_site_fract_x
_atom_site_fract_y
_atom_site_fract_z
Ce1 Ce 0.000 0.167 0.000
Y1 Y 0.249 0.000 0.250
Y2 Y 0.249 0.167 0.750
Ho1 Ho 0.000 0.500 0.000
Er1 Er 0.000 0.000 0.500
Er2 Er 0.000 0.334 0.500

=====

Record 4
# CeYHoEr PBE optimized geometry
# * total DFT energy (no corrections): -0.38371 Ry/atom
# * calculated density: 7.33 Mg/m³
data_CeYHoEr
_space_group_name_H-M_alt 'F -4 3 m'
_space_group_IT_number 216
_space_group_name_Hall 'F -4 2 3'
_cell_length_a 7.981
_cell_length_b 7.981
_cell_length_c 7.981
_cell_angle_alpha 90.00
_cell_angle_beta 90.00
_cell_angle_gamma 90.00
loop_
_atom_site_label
_atom_site_type_symbol
_atom_site_fract_x
_atom_site_fract_y
_atom_site_fract_z
Ce1 Ce 0.000 0.000 0.000
Y1 Y 0.000 0.000 0.500
Ho1 Ho 0.250 0.250 0.750
Er1 Er 0.250 0.250 0.250

=====

Record 5
# Ce2YHo3Er6 PBE optimized geometry
# * total DFT energy (no corrections): -0.36049 Ry/atom
# * calculated density: 8.42 Mg/m³
data_Ce2YHo3Er6
_space_group_name_H-M_alt 'C 1 2/m 1'
_space_group_IT_number 12
_cell_length_a 6.092
_cell_length_b 10.547
_cell_length_c 11.645
_cell_angle_alpha 90.00
_cell_angle_beta 100.03
_cell_angle_gamma 90.00
loop_
_space_group_symop_operation_xyz
'x,y,z'
'-x,-y,-z'
'-x,y,-z'
'x,-y,z'
'x+1/2,y+1/2,z'
'-x+1/2,-y+1/2,-z'
'-x+1/2,y+1/2,-z'
'x+1/2,-y+1/2,z'
loop_
_atom_site_label
_atom_site_type_symbol
_atom_site_fract_x
_atom_site_fract_y
_atom_site_fract_z
Ce1 Ce 0.000 0.167 0.000
Y1 Y 0.000 0.500 0.000
Ho1 Ho 0.000 0.000 0.500
Ho2 Ho 0.000 0.334 0.500
Er1 Er 0.248 0.000 0.250
Er2 Er 0.248 0.168 0.750

=====

Record 6
# CeY3Ho2Er6 PBE optimized geometry
# * total DFT energy (no corrections): -0.37595 Ry/atom
# * calculated density: 7.75 Mg/m³
data_CeY3Ho2Er6
_space_group_name_H-M_alt 'C 1 2/m 1'
_space_group_IT_number 12
_cell_length_a 6.115
_cell_length_b 10.585
_cell_length_c 11.699
_cell_angle_alpha 90.00
_cell_angle_beta 100.02
_cell_angle_gamma 90.00
loop_
_space_group_symop_operation_xyz
'x,y,z'
'-x,-y,-z'
'-x,y,-z'
'x,-y,z'
'x+1/2,y+1/2,z'
'-x+1/2,-y+1/2,-z'
'-x+1/2,y+1/2,-z'
'x+1/2,-y+1/2,z'
loop_
_atom_site_label
_atom_site_type_symbol
_atom_site_fract_x
_atom_site_fract_y
_atom_site_fract_z
Ce1 Ce 0.000 0.000 0.000
Y1 Y 0.000 0.167 0.500
Y2 Y 0.000 0.500 0.500
Ho1 Ho 0.000 0.333 0.000
Er1 Er 0.248 0.000 0.751
Er2 Er 0.249 0.166 0.249

=====

Record 7
# Ce2Y3Ho6Er PBE optimized geometry
# * total DFT energy (no corrections): -0.38406 Ry/atom
# * calculated density: 7.57 Mg/m³
data_Ce2Y3Ho6Er
_space_group_name_H-M_alt 'C 1 2/m 1'
_space_group_IT_number 12
_cell_length_a 6.119
_cell_length_b 10.596
_cell_length_c 11.710
_cell_angle_alpha 90.00
_cell_angle_beta 100.03
_cell_angle_gamma 90.00
loop_
_space_group_symop_operation_xyz
'x,y,z'
'-x,-y,-z'
'-x,y,-z'
'x,-y,z'
'x+1/2,y+1/2,z'
'-x+1/2,-y+1/2,-z'
'-x+1/2,y+1/2,-z'
'x+1/2,-y+1/2,z'
loop_
_atom_site_label
_atom_site_type_symbol
_atom_site_fract_x
_atom_site_fract_y
_atom_site_fract_z
Ce1 Ce 0.000 0.167 0.000
Y1 Y 0.000 0.000 0.500
Y2 Y 0.000 0.334 0.500
Ho1 Ho 0.248 0.000 0.248
Ho2 Ho 0.249 0.168 0.752
Er1 Er 0.000 0.500 0.000

=====

Record 8
# CeYHoEr2 PBE optimized geometry
# * total DFT energy (no corrections): -0.36163 Ry/atom
# * calculated density: 7.59 Mg/m³
data_CeYHoEr2
_space_group_name_H-M_alt 'P 1 2/c 1'
_space_group_IT_number 13
_cell_length_a 7.917
_cell_length_b 6.832
_cell_length_c 5.892
_cell_angle_alpha 90.00
_cell_angle_beta 90.10
_cell_angle_gamma 90.00
loop_
_space_group_symop_operation_xyz
'x,y,z'
'-x,-y,-z'
'-x,y,-z+1/2'
'x,-y,z+1/2'
loop_
_atom_site_label
_atom_site_type_symbol
_atom_site_fract_x
_atom_site_fract_y
_atom_site_fract_z
Ce1 Ce 0.000 0.000 0.000
Y1 Y 0.500 0.166 0.250
Ho1 Ho 0.000 0.406 0.250
Er1 Er 0.300 0.313 0.750

=====

Record 9
# CeY2Ho6Er3 PBE optimized geometry
# * total DFT energy (no corrections): -0.36465 Ry/atom
# * calculated density: 8.05 Mg/m³
data_CeY2Ho6Er3
_space_group_name_H-M_alt 'C 1 2/m 1'
_space_group_IT_number 12
_cell_length_a 6.116
_cell_length_b 10.588
_cell_length_c 11.707
_cell_angle_alpha 90.00
_cell_angle_beta 100.02
_cell_angle_gamma 90.00
loop_
_space_group_symop_operation_xyz
'x,y,z'
'-x,-y,-z'
'-x,y,-z'
'x,-y,z'
'x+1/2,y+1/2,z'
'-x+1/2,-y+1/2,-z'
'-x+1/2,y+1/2,-z'
'x+1/2,-y+1/2,z'
loop_
_atom_site_label
_atom_site_type_symbol
_atom_site_fract_x
_atom_site_fract_y
_atom_site_fract_z
Ce1 Ce 0.000 0.000 0.000
Y1 Y 0.000 0.333 0.000
Ho1 Ho 0.246 0.000 0.748
Ho2 Ho 0.250 0.165 0.252
Er1 Er 0.000 0.167 0.500
Er2 Er 0.000 0.500 0.500

=====

Record 10
# CeErI6 PBE optimized geometry
# * calculated density: 4.90 Mg/m³
# * relative energy among the computed polymorphs: 4.32 kJ per mole of atoms
data_CeErI6
_space_group_name_H-M_alt 'R -3'
_space_group_IT_number 148
_space_group_name_Hall '-R 3'
_cell_length_a 7.7159
_cell_length_b 7.7159
_cell_length_c 21.0725
_cell_angle_alpha 90.00
_cell_angle_beta 90.00
_cell_angle_gamma 120.00
loop_
_atom_site_label
_atom_site_type_symbol
_atom_site_fract_x
_atom_site_fract_y
_atom_site_fract_z
Ce1 Ce 0.0000 0.0000 0.0000
Er1 Er 0.0000 0.0000 0.5000
I1 I 0.0031 0.6793 0.5814

=====

Record 11
# CeErI6 PBE optimized geometry
# * calculated density: 4.04 Mg/m³
# * relative energy among the computed polymorphs: 0.00 kJ per mole of atoms
data_CeErI6
_space_group_name_H-M_alt 'C 1 2/m 1'
_space_group_IT_number 12
_cell_length_a 8.045
_cell_length_b 14.005
_cell_length_c 7.808
_cell_angle_alpha 90.00
_cell_angle_beta 93.56
_cell_angle_gamma 90.00
loop_
_space_group_symop_operation_xyz
'x,y,z'
'-x,-y,-z'
'-x,y,-z'
'x,-y,z'
'x+1/2,y+1/2,z'
'-x+1/2,-y+1/2,-z'
'-x+1/2,y+1/2,-z'
'x+1/2,-y+1/2,z'
loop_
_atom_site_label
_atom_site_type_symbol
_atom_site_fract_x
_atom_site_fract_y
_atom_site_fract_z
Ce1 Ce 0.000 0.000 0.000
Er1 Er 0.000 0.000 0.500
I1 I 0.150 0.148 0.273
I2 I 0.201 0.500 0.244

=====

Record 12
# CeErRuI PBE optimized geometry
# * total DFT energy (no corrections): -0.44101 Ry/atom
# * calculated density: 7.92 Mg/m³
data_CeErRuI
_space_group_name_H-M_alt 'R 3 m'
_space_group_IT_number 160
_space_group_name_Hall 'R 3 -2"'
_cell_length_a 4.0194
_cell_length_b 4.0194
_cell_length_c 24.0672
_cell_angle_alpha 90.00
_cell_angle_beta 90.00
_cell_angle_gamma 120.00
loop_
_atom_site_label
_atom_site_type_symbol
_atom_site_fract_x
_atom_site_fract_y
_atom_site_fract_z
Ce1 Ce 0.0000 0.0000 0.0000
Er1 Er 0.0000 0.0000 0.2112
Ru1 Ru 0.0000 0.0000 0.6118
I1 I 0.0000 0.0000 0.4423

=====

Record 13
# CeEr2In4 PBE optimized geometry
# * calculated density: 7.81 Mg/m³
# * relative energy among the computed polymorphs: 3.50 kJ per mole of atoms
data_CeEr2In4
_space_group_name_H-M_alt 'R -3 m'
_space_group_IT_number 166
_space_group_name_Hall '-R 3 2"'
_cell_length_a 4.8855
_cell_length_b 4.8855
_cell_length_c 28.8286
_cell_angle_alpha 90.00
_cell_angle_beta 90.00
_cell_angle_gamma 120.00
loop_
_atom_site_label
_atom_site_type_symbol
_atom_site_fract_x
_atom_site_fract_y
_atom_site_fract_z
Ce1 Ce 0.0000 0.0000 0.0000
Er1 Er 0.0000 0.0000 0.1300
In1 In 0.0000 0.0000 0.2478
In2 In 0.0000 0.0000 0.3897

=====

Record 14
# Ce4Er3In4 PBE optimized geometry
# * total DFT energy (no corrections): -0.34128 Ry/atom
# * calculated density: 8.00 Mg/m³
data_Ce4Er3In4
_space_group_name_H-M_alt 'I m m m'
_space_group_IT_number 71
_space_group_name_Hall '-I 2 2'
_cell_length_a 3.501
_cell_length_b 9.051
_cell_length_c 19.936
_cell_angle_alpha 90.00
_cell_angle_beta 90.00
_cell_angle_gamma 90.00
loop_
_atom_site_label
_atom_site_type_symbol
_atom_site_fract_x
_atom_site_fract_y
_atom_site_fract_z
Ce1 Ce 0.000 0.154 0.158
Er1 Er 0.000 0.000 0.406
Er2 Er 0.000 0.500 0.500
In1 In 0.000 0.285 0.000
In2 In 0.000 0.500 0.221

=====

Record 15
# Ce2ErIn PBE optimized geometry
# * calculated density: 8.01 Mg/m³
# * relative energy among the computed polymorphs: 20.10 kJ per mole of atoms
data_Ce2ErIn
_space_group_name_H-M_alt 'F m -3 m'
_space_group_IT_number 225
_space_group_name_Hall '-F 4 2 3'
_cell_length_a 7.755
_cell_length_b 7.755
_cell_length_c 7.755
_cell_angle_alpha 90.00
_cell_angle_beta 90.00
_cell_angle_gamma 90.00
loop_
_atom_site_label
_atom_site_type_symbol
_atom_site_fract_x
_atom_site_fract_y
_atom_site_fract_z
Ce1 Ce 0.250 0.250 0.250
Er1 Er 0.000 0.000 0.000
In1 In 0.000 0.000 0.500

=====

Record 16
# Ce5ErIn6 PBE optimized geometry
# * total DFT energy (no corrections): -0.33801 Ry/atom
# * calculated density: 7.92 Mg/m³
data_Ce5ErIn6
_space_group_name_H-M_alt 'C 1 2/m 1'
_space_group_IT_number 12
_cell_length_a 16.156
_cell_length_b 7.086
_cell_length_c 5.701
_cell_angle_alpha 90.00
_cell_angle_beta 90.57
_cell_angle_gamma 90.00
loop_
_space_group_symop_operation_xyz
'x,y,z'
'-x,-y,-z'
'-x,y,-z'
'x,-y,z'
'x+1/2,y+1/2,z'
'-x+1/2,-y+1/2,-z'
'-x+1/2,y+1/2,-z'
'x+1/2,-y+1/2,z'
loop_
_atom_site_label
_atom_site_type_symbol
_atom_site_fract_x
_atom_site_fract_y
_atom_site_fract_z
Ce1 Ce 0.000 0.000 0.000
Ce2 Ce 0.163 0.000 0.661
Ce3 Ce 0.177 0.500 0.657
Er1 Er 0.000 0.500 0.000
In1 In 0.000 0.270 0.500
In2 In 0.164 0.261 0.160

=====

Record 17
# Ce2Er3In3 PBE optimized geometry
# * total DFT energy (no corrections): -0.33353 Ry/atom
# * calculated density: 8.65 Mg/m³
data_Ce2Er3In3
_space_group_name_H-M_alt 'C 1 2/m 1'
_space_group_IT_number 12
_cell_length_a 22.937
_cell_length_b 3.551
_cell_length_c 5.452
_cell_angle_alpha 90.00
_cell_angle_beta 103.21
_cell_angle_gamma 90.00
loop_
_space_group_symop_operation_xyz
'x,y,z'
'-x,-y,-z'
'-x,y,-z'
'x,-y,z'
'x+1/2,y+1/2,z'
'-x+1/2,-y+1/2,-z'
'-x+1/2,y+1/2,-z'
'x+1/2,-y+1/2,z'
loop_
_atom_site_label
_atom_site_type_symbol
_atom_site_fract_x
_atom_site_fract_y
_atom_site_fract_z
Ce1 Ce 0.243 0.000 0.196
Er1 Er 0.000 0.000 0.000
Er2 Er 0.122 0.000 0.521
In1 In 0.000 0.500 0.500
In2 In 0.119 0.500 0.006

=====

Record 18
# CeEr12In3 PBE optimized geometry
# * total DFT energy (no corrections): -0.32906 Ry/atom
# * calculated density: 9.10 Mg/m³
data_CeEr12In3
_space_group_name_H-M_alt 'P 4/m m m'
_space_group_IT_number 123
_space_group_name_Hall '-P 4 2'
_cell_length_a 4.816
_cell_length_b 4.816
_cell_length_c 19.606
_cell_angle_alpha 90.00
_cell_angle_beta 90.00
_cell_angle_gamma 90.00
loop_
_atom_site_label
_atom_site_type_symbol
_atom_site_fract_x
_atom_site_fract_y
_atom_site_fract_z
Ce1 Ce 0.000 0.000 0.000
Er1 Er 0.000 0.500 0.130
Er2 Er 0.000 0.500 0.377
Er3 Er 0.500 0.500 0.000
Er4 Er 0.500 0.500 0.255
Er5 Er 0.500 0.500 0.500
In1 In 0.000 0.000 0.256
In2 In 0.000 0.000 0.500

=====

Record 19
# CeErIn2 PBE optimized geometry
# * total DFT energy (no corrections): -0.31069 Ry/atom
# * calculated density: 7.86 Mg/m³
data_CeErIn2
_space_group_name_H-M_alt 'R -3 m'
_space_group_IT_number 166
_space_group_name_Hall '-R 3 2"'
_cell_length_a 3.5698
_cell_length_b 3.5698
_cell_length_c 30.8466
_cell_angle_alpha 90.00
_cell_angle_beta 90.00
_cell_angle_gamma 120.00
loop_
_atom_site_label
_atom_site_type_symbol
_atom_site_fract_x
_atom_site_fract_y
_atom_site_fract_z
Ce1 Ce 0.0000 0.0000 0.0000
Er1 Er 0.0000 0.0000 0.5000
In1 In 0.0000 0.0000 0.2473

=====

Record 20
# Ce2ErIn PBE optimized geometry
# * calculated density: 8.66 Mg/m³
# * relative energy among the computed polymorphs: 0.00 kJ per mole of atoms
data_Ce2ErIn
_space_group_name_H-M_alt 'P 1 21/m 1'
_space_group_IT_number 11
_cell_length_a 6.534
_cell_length_b 5.251
_cell_length_c 7.079
_cell_angle_alpha 90.00
_cell_angle_beta 117.37
_cell_angle_gamma 90.00
loop_
_space_group_symop_operation_xyz
'x,y,z'
'-x,-y,-z'
'-x,y+1/2,-z'
'x,-y+1/2,z'
loop_
_atom_site_label
_atom_site_type_symbol
_atom_site_fract_x
_atom_site_fract_y
_atom_site_fract_z
Ce1 Ce 0.168 0.250 0.387
Ce2 Ce 0.280 0.750 0.612
Er1 Er 0.315 0.750 0.129
In1 In 0.181 0.250 0.863